Material: KRb2AgHg
Method: DFT, GGA-PBE
State: optimized geometry

Lattice parameters (Å, degrees): 6.8213 6.8213 5.6131 90.00 90.00 90.00
With the nearest neighbours (Å) after each atom.
Fractional positions:
Rb1 0.0000 0.5000 0.0000  2 Ag 3.41
Rb2 0.5000 0.0000 0.0000  2 Ag 3.41
Hg1 0.0000 0.0000 0.5000  2 Ag 2.81
K1 0.5000 0.5000 0.5000  8 Rb 4.42, 4 Hg 4.82
Ag1 0.0000 0.0000 0.0000  2 Hg 2.81

Computed properties:
Formation energy, meV/atom: 12
Excess energy over the best structure of this formula in the dataset, meV per atom: 100
M_tot, μB/cell: 0.00



Material: KRb2AgHg
Method: DFT, GGA-PBE
State: optimized geometry

Lattice parameters (Å, degrees): 6.7993 6.7993 6.5100 90.00 90.00 90.00
With the nearest neighbours (Å) after each atom.
Fractional positions:
Ag1 0.0000 0.0000 0.0000  2 K 3.26, 4 Rb 3.40
Hg1 0.5000 0.5000 0.5000  8 Rb 4.71, 4 K 4.81
K1 0.0000 0.0000 0.5000  2 Ag 3.26
Rb1 0.0000 0.5000 0.0000  2 Ag 3.40
Rb2 0.5000 0.0000 0.0000  2 Ag 3.40

Computed properties:
Formation energy, meV/atom: 74
Excess energy over the best structure of this formula in the dataset, meV per atom: 161
M_tot, μB/cell: 0.00



Material: KRe2AgHg
Method: DFT, GGA-PBE
State: optimized geometry

Lattice parameters (Å, degrees): 5.2490 5.3672 5.2490 90.00 90.00 90.00
With the nearest neighbours (Å) after each atom.
Fractional positions:
K1 0.5000 0.5000 0.5000  4 Ag 3.71, 8 Re 3.75
Hg1 0.0000 0.0000 0.0000  4 Re 2.62, 2 Ag 2.68
Re1 0.0000 0.0000 0.5000  2 Hg 2.62
Re2 0.5000 0.0000 0.0000  2 Hg 2.62
Ag1 0.0000 0.5000 0.0000  2 Hg 2.68

Computed properties:
Formation energy, meV/atom: 2179
M_tot, μB/cell: 6.61



Material: KAgHg2Rh
Method: DFT, GGA-PBE
State: optimized geometry

Lattice parameters (Å, degrees): 5.2576 5.2576 5.3005 90.00 90.00 90.00
With the nearest neighbours (Å) after each atom.
Fractional positions:
Hg1 0.5000 0.0000 0.0000  2 Rh 2.63
Hg2 0.0000 0.5000 0.0000  2 Rh 2.63
Ag1 0.0000 0.0000 0.5000  2 Rh 2.65
Rh1 0.0000 0.0000 0.0000  4 Hg 2.63, 2 Ag 2.65
K1 0.5000 0.5000 0.5000  4 Ag 3.72, 8 Hg 3.73

Computed properties:
Formation energy, meV/atom: 37
M_tot, μB/cell: 0.00



Material: KAgHgS2
Method: DFT, GGA-PBE
State: optimized geometry

Lattice parameters (Å, degrees): 4.2133 8.1704 8.8718 106.45 90.00 104.94
With the nearest neighbours (Å) after each atom.
Fractional positions:
Hg1 0.0344 0.0688 0.2548  3 S 2.46-2.58
Hg2 0.9656 0.9312 0.7452  3 S 2.46-2.58
Ag1 0.3849 0.7697 0.9587  3 S 2.53-2.55
Ag2 0.6151 0.2303 0.0413  3 S 2.53-2.55
K1 0.7130 0.4259 0.7113  5 S 3.18-3.36
K2 0.2870 0.5741 0.2887  5 S 3.18-3.36
S1 0.8751 0.7502 0.1117  1 Hg 2.46, 2 Ag 2.53
S2 0.3689 0.7377 0.6646  1 Ag 2.55, 2 Hg 2.58
S3 0.6311 0.2623 0.3354  1 Ag 2.55, 2 Hg 2.58
S4 0.1249 0.2498 0.8883  1 Hg 2.46, 2 Ag 2.53

Computed properties:
M_tot, μB/cell: 0.00
ΔE_f (raw), eV/f.u.: -2.4



Material: KAgHg2Sb
Method: DFT, GGA-PBE
State: optimized geometry

Lattice parameters (Å, degrees): 5.5114 5.5114 5.5405 90.00 90.00 90.00
With the nearest neighbours (Å) after each atom.
Fractional positions:
Ag1 0.0000 0.0000 0.0000  4 Hg 2.76, 2 Sb 2.77
K1 0.5000 0.5000 0.5000  4 Sb 3.90, 8 Hg 3.91
Hg1 0.0000 0.5000 0.0000  2 Ag 2.76
Hg2 0.5000 0.0000 0.0000  2 Ag 2.76
Sb1 0.0000 0.0000 0.5000  2 Ag 2.77

Computed properties:
Excess energy over the best structure of this formula in the dataset, meV per atom: 0
M_tot, μB/cell: 0.47
ΔE_f (raw), eV/f.u.: 0.0



Material: KAgHg2Sb
Method: DFT, GGA-PBE
State: optimized geometry

Lattice parameters (Å, degrees): 5.8522 5.8522 5.3715 90.00 90.00 90.00
With the nearest neighbours (Å) after each atom.
Fractional positions:
K1 0.5000 0.5000 0.5000  8 Hg 3.97, 4 Ag 4.14
Ag1 0.0000 0.0000 0.5000  2 Sb 2.69
Sb1 0.0000 0.0000 0.0000  2 Ag 2.69, 4 Hg 2.93
Hg1 0.0000 0.5000 0.0000  2 Sb 2.93
Hg2 0.5000 0.0000 0.0000  2 Sb 2.93

Computed properties:
Excess energy over the best structure of this formula in the dataset, meV per atom: 7
M_tot, μB/cell: 0.00
ΔE_f (raw), eV/f.u.: 0.1



Material: K2AgSnHg
Method: DFT, GGA-PBE
State: optimized geometry

Lattice parameters (Å, degrees): 6.2926 5.2758 6.2926 90.00 90.00 90.00
With the nearest neighbours (Å) after each atom.
Fractional positions:
Ag1 0.0000 0.5000 0.0000  2 Hg 2.64
K1 0.0000 0.0000 0.5000  2 Hg 3.15
K2 0.5000 0.0000 0.0000  2 Hg 3.15
Hg1 0.0000 0.0000 0.0000  2 Ag 2.64
Sn1 0.5000 0.5000 0.5000  8 K 4.11, 4 Ag 4.45

Computed properties:
Formation energy, meV/atom: 256
M_tot, μB/cell: 0.00



Material: KAgSnHg2
Method: DFT, GGA-PBE
State: optimized geometry

Lattice parameters (Å, degrees): 5.5177 5.5177 5.3946 90.00 90.00 90.00
With the nearest neighbours (Å) after each atom.
Fractional positions:
K1 0.5000 0.5000 0.5000  8 Hg 3.86, 4 Sn 3.90
Hg1 0.5000 0.0000 0.0000  2 Ag 2.76
Hg2 0.0000 0.5000 0.0000  2 Ag 2.76
Ag1 0.0000 0.0000 0.0000  2 Sn 2.70, 4 Hg 2.76
Sn1 0.0000 0.0000 0.5000  2 Ag 2.70

Computed properties:
Formation energy, meV/atom: 40
Excess energy over the best structure of this formula in the dataset, meV per atom: 26
M_tot, μB/cell: 0.00



Material: KAgSnHg2
Method: DFT, GGA-PBE
State: optimized geometry

Lattice parameters (Å, degrees): 5.8274 5.8274 5.3139 90.00 90.00 90.00
With the nearest neighbours (Å) after each atom.
Fractional positions:
Ag1 0.0000 0.0000 0.5000  2 Sn 2.66
Hg1 0.0000 0.5000 0.0000  2 Sn 2.91
Hg2 0.5000 0.0000 0.0000  2 Sn 2.91
K1 0.5000 0.5000 0.5000  8 Hg 3.94, 4 Ag 4.12
Sn1 0.0000 0.0000 0.0000  2 Ag 2.66, 4 Hg 2.91

Computed properties:
Formation energy, meV/atom: 14
Excess energy over the best structure of this formula in the dataset, meV per atom: 0
M_tot, μB/cell: 0.00



Material: KAg2SnHg
Method: DFT, GGA-PBE
State: optimized geometry

Lattice parameters (Å, degrees): 5.3403 5.3403 5.8226 90.00 90.00 90.00
With the nearest neighbours (Å) after each atom.
Fractional positions:
Hg1 0.0000 0.0000 0.5000  2 Sn 2.91
Ag1 0.0000 0.5000 0.0000  2 Sn 2.67
Ag2 0.5000 0.0000 0.0000  2 Sn 2.67
K1 0.5000 0.5000 0.5000  4 Hg 3.78, 8 Ag 3.95
Sn1 0.0000 0.0000 0.0000  4 Ag 2.67, 2 Hg 2.91

Computed properties:
Formation energy, meV/atom: 42
M_tot, μB/cell: 0.00



Material: KSr2AgHg
Method: DFT, GGA-PBE
State: optimized geometry

Lattice parameters (Å, degrees): 6.8856 5.7666 6.8856 90.00 90.00 90.00
With the nearest neighbours (Å) after each atom.
Fractional positions:
K1 0.0000 0.0000 0.0000  2 Hg 2.88
Ag1 0.5000 0.5000 0.5000  8 Sr 4.49, 4 Hg 4.87
Sr1 0.0000 0.0000 0.5000  2 K 3.44
Sr2 0.5000 0.0000 0.0000  2 K 3.44
Hg1 0.0000 0.5000 0.0000  2 K 2.88

Computed properties:
Formation energy, meV/atom: 670
M_tot, μB/cell: 0.00



Material: KSrAgHg
Method: DFT, GGA-PBE
State: optimized geometry

Lattice parameters (Å, degrees): 5.7183 5.7183 5.7183 60.00 60.00 60.00
With the nearest neighbours (Å) after each atom.
Fractional positions:
K1 0.0000 0.0000 0.0000  4 Ag 3.50, 4 Hg 3.50
Sr1 0.5000 0.5000 0.5000  4 Hg 3.50, 4 Ag 3.50
Hg1 0.2500 0.2500 0.2500  4 K 3.50, 4 Sr 3.50
Ag1 0.7500 0.7500 0.7500  4 K 3.50, 4 Sr 3.50

Computed properties:
Formation energy, meV/atom: -169
M_tot, μB/cell: 0.00